No. 1
The following is a PBE calculation of a relaxed structure of Ta2N3, from Alexandria.

Calculated values
* M_tot: 0.0 μB per formula unit
* VASP energy: -10.719 eV/atom
* Fermi-level density of states: 2.32 states/eV/f.u.

Unit cell a=5.2891 b=5.2891 c=5.7214 alpha=62.47 beta=62.47 gamma=60.00
Sites, in units of the cell vectors:
Ta  0.6473  0.6473  0.0580
Ta  0.1473  0.1473  0.5580
Ta  0.8527  0.8527  0.4420
Ta  0.3527  0.3527  0.9420
N  0.4414  0.0586  0.7500
N  0.5586  0.9414  0.2500
N  0.7500  0.4414  0.7500
N  0.0586  0.7500  0.7500
N  0.9414  0.2500  0.2500
N  0.2500  0.5586  0.2500

No. 2
The following is a PBE calculation of a relaxed structure of Tb2TaN3, from Alexandria.

Calculated values
* M_tot: 0.0 μB per formula unit
* VASP energy: -9.034 eV/atom
* Fermi-level density of states: 0.95 states/eV/f.u.

Unit cell a=5.4892 b=6.0800 c=12.0768 alpha=87.88 beta=85.30 gamma=63.17
Sites, in units of the cell vectors:
Tb  0.9785  0.6007  0.8622
Tb  0.4208  0.6007  0.6378
Tb  0.0215  0.3993  0.1378
Tb  0.5792  0.3993  0.3622
Tb  0.6658  0.2299  0.9221
Tb  0.3342  0.7701  0.0779
Tb  0.8956  0.7701  0.4221
Tb  0.1044  0.2299  0.5779
Ta  0.6969  0.0094  0.1689
Ta  0.7062  0.9906  0.6689
Ta  0.3031  0.9906  0.8311
Ta  0.2938  0.0094  0.3311
N  0.1404  0.3522  0.3893
N  0.8596  0.6478  0.6107
N  0.4925  0.6478  0.8893
N  0.6473  0.7053  0.2500
N  0.8833  0.7918  0.0378
N  0.0166  0.9668  0.7500
N  0.1167  0.2082  0.9622
N  0.9834  0.0332  0.2500
N  0.3527  0.2947  0.7500
N  0.6751  0.2082  0.5378
N  0.5075  0.3522  0.1107
N  0.3249  0.7918  0.4622

No. 3
The following is a PBE calculation of a relaxed structure of Tb3Ta5N12, from Alexandria.

Calculated values
* M_tot: 0.0 μB per formula unit
* VASP energy: -9.752 eV/atom
* Fermi-level density of states: 17.27 states/eV/f.u.

Unit cell a=11.2355 b=11.2355 c=11.2355 alpha=109.47 beta=109.47 gamma=109.47
Sites, in units of the cell vectors:
N  0.7040  0.5843  0.1784
N  0.0843  0.9059  0.3803
N  0.9745  0.3803  0.2960
N  0.0255  0.4059  0.8216
N  0.5843  0.8803  0.4059
N  0.8803  0.5843  0.9059
N  0.5941  0.9745  0.6784
N  0.0941  0.9157  0.1197
N  0.4745  0.6784  0.0941
N  0.1784  0.0843  0.7040
N  0.6197  0.5941  0.9157
N  0.1197  0.7040  0.5255
N  0.0843  0.1784  0.2040
N  0.8216  0.9157  0.2960
N  0.5255  0.3216  0.9059
N  0.2040  0.5255  0.6197
N  0.2960  0.4157  0.8216
N  0.9157  0.8216  0.7960
N  0.4059  0.0255  0.3216
N  0.5941  0.6197  0.4157
N  0.8803  0.2960  0.4745
N  0.9157  0.0941  0.6197
N  0.1197  0.4157  0.0941
N  0.3803  0.4059  0.0843
N  0.1784  0.0941  0.9745
N  0.7960  0.3216  0.9157
N  0.3216  0.5255  0.4059
N  0.5843  0.7040  0.6784
N  0.0255  0.6197  0.7040
N  0.6784  0.4745  0.5941
N  0.4059  0.3803  0.5843
N  0.2960  0.8803  0.9745
N  0.8216  0.9059  0.0255
N  0.3216  0.7960  0.4157
N  0.7960  0.4745  0.3803
N  0.7040  0.1197  0.0255
N  0.5255  0.2040  0.1197
N  0.9059  0.8216  0.5255
N  0.4745  0.7960  0.8803
N  0.4157  0.1197  0.5941
N  0.0941  0.1784  0.4745
N  0.9745  0.5941  0.1784
N  0.6784  0.2040  0.5843
N  0.2040  0.6784  0.0843
N  0.3803  0.9745  0.7960
N  0.4157  0.2960  0.3216
N  0.6197  0.0255  0.2040
N  0.9059  0.0843  0.8803
Ta  0.0000  0.5000  0.5000
Ta  0.7500  0.6250  0.3750
Ta  0.6250  0.7500  0.8750
Ta  0.8750  0.6250  0.7500
Ta  0.3750  0.1250  0.7500
Ta  0.6250  0.8750  0.2500
Ta  0.5000  0.5000  0.0000
Ta  0.0000  0.0000  0.5000
Ta  0.1250  0.7500  0.3750
Ta  0.5000  0.0000  0.5000
Ta  0.1250  0.3750  0.2500
Ta  0.2500  0.8750  0.1250
Ta  0.3750  0.2500  0.1250
Ta  0.0000  0.0000  0.0000
Ta  0.7500  0.1250  0.8750
Ta  0.5000  0.0000  0.0000
Ta  0.5000  0.5000  0.5000
Ta  0.0000  0.5000  0.0000
Ta  0.8750  0.2500  0.6250
Ta  0.2500  0.3750  0.6250
Tb  0.1250  0.2500  0.8750
Tb  0.6250  0.3750  0.7500
Tb  0.8750  0.1250  0.2500
Tb  0.2500  0.1250  0.3750
Tb  0.1250  0.8750  0.7500
Tb  0.7500  0.3750  0.1250
Tb  0.7500  0.8750  0.6250
Tb  0.2500  0.6250  0.8750
Tb  0.3750  0.7500  0.6250
Tb  0.8750  0.7500  0.1250
Tb  0.6250  0.2500  0.3750
Tb  0.3750  0.6250  0.2500

No. 4
The following is a PBE calculation of a relaxed structure of TbTaN, from Alexandria.

Calculated values
* M_tot: 0.3 μB per formula unit
* VASP energy: -8.643 eV/atom
* Fermi-level density of states: 3.20 states/eV/f.u.

Unit cell a=3.1522 b=3.1522 c=11.5486 alpha=90.00 beta=90.00 gamma=120.00
Sites, in units of the cell vectors:
N  0.6667  0.3333  0.9491
N  0.3333  0.6667  0.4490
Ta  0.3333  0.6667  0.8282
Ta  0.3333  0.6667  0.0700
Tb  0.6667  0.3333  0.3165
Tb  0.6667  0.3333  0.5817

No. 5
The following is a PBE calculation of a relaxed structure of TbTa4N8, from Alexandria.

Calculated values
* M_tot: 0.0 μB per formula unit
* VASP energy: -10.007 eV/atom
* Fermi-level density of states: 6.02 states/eV/f.u.

Unit cell a=3.1713 b=7.7518 c=7.5068 alpha=79.29 beta=77.81 gamma=78.20
Sites, in units of the cell vectors:
Ta  0.8706  0.4720  0.7867
Ta  0.3694  0.8351  0.4260
Ta  0.1594  0.5204  0.1609
Ta  0.6557  0.1913  0.4973
N  0.1336  0.3381  0.3946
N  0.5455  0.6998  0.2092
N  0.1648  0.0226  0.6479
N  0.8344  0.9998  0.3315
N  0.2331  0.6489  0.8849
N  0.8571  0.7025  0.5832
N  0.7747  0.3891  0.0616
N  0.4706  0.3298  0.7290
Tb  0.6355  0.8725  0.8565

No. 6
The following is a PBE calculation of a relaxed structure of Tb2ThTaN4, from Alexandria.

Calculated values
* M_tot: 0.0 μB per formula unit
* VASP energy: -9.136 eV/atom
* Fermi-level density of states: 3.41 states/eV/f.u.

Unit cell a=3.4034 b=5.9999 c=5.9088 alpha=108.70 beta=90.00 gamma=90.00
Sites, in units of the cell vectors:
Tb  0.5000  0.0000  0.5000
Tb  0.0000  0.5000  0.5000
N  0.5000  0.2180  0.2211
N  0.5000  0.7820  0.7789
N  0.0000  0.2238  0.7648
N  0.0000  0.7762  0.2352
Ta  0.0000  0.0000  0.0000
Th  0.5000  0.5000  0.0000

Q: What is the Fermi-level density of states in the first record?
A: 2.32 states/eV/f.u.

Q: Which of these has the highest Fermi-level density of states?
A: Tb3Ta5N12

Q: Which of these has the highest M_tot?
A: TbTaN

Q: Look up the Fermi-level density of states of the third one.
A: 17.27 states/eV/f.u.